Record 1
VASP calculation (GGA-PBE) on a relaxed structure of LiZrHg3S4.

a b c (Å): 6.6391 6.6391 6.6391
angles (deg): 90.00 90.00 90.00
Fractional coordinates of all 9 atoms:
Li: 0.0000 0.0000 0.0000
Hg: 0.5000 0.5000 0.0000
Hg: 0.5000 0.0000 0.5000
Hg: 0.0000 0.5000 0.5000
S: 0.2844 0.7156 0.7156
S: 0.2844 0.2844 0.2844
S: 0.7156 0.7156 0.2844
S: 0.7156 0.2844 0.7156
Zr: 0.5000 0.5000 0.5000

Results
* total magnetic moment: 0.00 μB per formula unit
* SG: No. 215
* calculated total energy: -3.4542 eV/atom
* relative energy among the computed polymorphs: 0.2129 eV/atom

---

Record 2
VASP calculation (GGA-PBE) on a relaxed structure of SrIrNO2.

a b c (Å): 3.7325 4.0334 4.2086
angles (deg): 90.00 90.00 90.00
Fractional coordinates of all 5 atoms:
N: 0.5000 0.5000 0.5592
Sr: 0.5000 0.0000 0.0637
O: 0.0000 0.5000 0.0697
O: 0.0000 0.0000 0.6462
Ir: 0.0000 0.5000 0.5612

Results
* total magnetic moment: 0.00 μB per formula unit
* SG: No. 25
* calculated total energy: -6.7395 eV/atom

---

Record 3
VASP calculation (GGA-PBE) on a relaxed structure of TlTcAgSe3.

a b c (Å): 14.1063 3.7872 10.4803
angles (deg): 90.00 90.00 90.00
Fractional coordinates of all 24 atoms:
Se: 0.1339 0.7500 0.2034
Se: 0.6047 0.7500 0.8477
Se: 0.4227 0.7500 0.4379
Se: 0.6339 0.7500 0.2966
Se: 0.3661 0.2500 0.7034
Se: 0.0773 0.2500 0.9379
Se: 0.1047 0.7500 0.6523
Se: 0.5773 0.2500 0.5621
Se: 0.9227 0.7500 0.0621
Se: 0.3953 0.2500 0.1523
Se: 0.8661 0.2500 0.7966
Se: 0.8953 0.2500 0.3477
Tc: 0.4868 0.7500 0.6707
Tc: 0.0132 0.2500 0.1707
Tc: 0.9868 0.7500 0.8293
Tc: 0.5132 0.2500 0.3293
Tl: 0.2679 0.7500 0.9350
Tl: 0.2321 0.2500 0.4350
Tl: 0.7321 0.2500 0.0650
Tl: 0.7679 0.7500 0.5650
Ag: 0.0298 0.7500 0.4051
Ag: 0.9702 0.2500 0.5949
Ag: 0.4702 0.2500 0.9051
Ag: 0.5298 0.7500 0.0949

Results
* total magnetic moment: 0.00 μB per formula unit
* SG: No. 62
* calculated total energy: -4.5068 eV/atom
* relative energy among the computed polymorphs: 0.0046 eV/atom

---

Record 4
VASP calculation (GGA-PBE) on a relaxed structure of ScFeSi2.

a b c (Å): 9.7490 9.7490 14.2019
angles (deg): 90.00 90.00 149.94
Fractional coordinates of all 48 atoms:
Si: 0.7356 0.2644 0.3565
Si: 0.8330 0.1670 0.6007
Si: 0.7461 0.7461 0.0000
Si: 0.2461 0.2461 0.5000
Si: 0.3599 0.6401 0.4925
Si: 0.6401 0.3599 0.5075
Si: 0.8359 0.6641 0.7500
Si: 0.0872 0.9128 0.1439
Si: 0.3359 0.1641 0.7500
Si: 0.2356 0.7644 0.1435
Si: 0.6670 0.3330 0.1007
Si: 0.3330 0.6670 0.8993
Si: 0.7539 0.7539 0.5000
Si: 0.6641 0.8359 0.2500
Si: 0.7644 0.2356 0.8565
Si: 0.1401 0.8599 0.9925
Si: 0.8599 0.1401 0.0075
Si: 0.4128 0.5872 0.6439
Si: 0.2644 0.7356 0.6435
Si: 0.1641 0.3359 0.2500
Si: 0.1670 0.8330 0.3993
Si: 0.2539 0.2539 0.0000
Si: 0.5872 0.4128 0.3561
Si: 0.9128 0.0872 0.8561
Sc: 0.4671 0.5329 0.8231
Sc: 0.5329 0.4671 0.1769
Sc: 0.7040 0.2960 0.6810
Sc: 0.0329 0.9671 0.3231
Sc: 0.2960 0.7040 0.3190
Sc: 0.1228 0.8772 0.5846
Sc: 0.3772 0.6228 0.0846
Sc: 0.2040 0.7960 0.8190
Sc: 0.8772 0.1228 0.4154
Sc: 0.7960 0.2040 0.1810
Sc: 0.9671 0.0329 0.6769
Sc: 0.6228 0.3772 0.9154
Fe: 0.4114 0.0886 0.2500
Fe: 0.5000 0.0000 0.0000
Fe: 0.0886 0.4114 0.7500
Fe: 0.5000 0.0000 0.5000
Fe: 0.9591 0.0409 0.1231
Fe: 0.5409 0.4591 0.6231
Fe: 0.9114 0.5886 0.2500
Fe: 0.0409 0.9591 0.8769
Fe: 0.0000 0.5000 0.5000
Fe: 0.4591 0.5409 0.3769
Fe: 0.0000 0.5000 0.0000
Fe: 0.5886 0.9114 0.7500

Results
* total magnetic moment: 0.67 μB per formula unit
* SG: No. 64
* calculated total energy: -7.0491 eV/atom

---

Record 5
VASP calculation (GGA-PBE) on a relaxed structure of ZrReGe2.

a b c (Å): 4.6189 4.6189 4.6189
angles (deg): 60.00 60.00 60.00
Fractional coordinates of all 4 atoms:
Ge: 0.7500 0.7500 0.7500
Ge: 0.0000 0.0000 0.0000
Re: 0.5000 0.5000 0.5000
Zr: 0.2500 0.2500 0.2500

Results
* total magnetic moment: 0.01 μB per formula unit
* SG: No. 216
* calculated total energy: -7.4305 eV/atom

---

Record 6
VASP calculation (GGA-PBE) on a relaxed structure of AlTl2AgBr6.

a b c (Å): 7.5292 7.5292 7.5292
angles (deg): 60.00 60.00 60.00
Fractional coordinates of all 10 atoms:
Tl: 0.2500 0.2500 0.2500
Tl: 0.7500 0.7500 0.7500
Al: 0.5000 0.5000 0.5000
Br: 0.2633 0.2633 0.7367
Br: 0.7367 0.2633 0.2633
Br: 0.2633 0.7367 0.7367
Br: 0.2633 0.7367 0.2633
Br: 0.7367 0.2633 0.7367
Br: 0.7367 0.7367 0.2633
Ag: 0.0000 0.0000 0.0000

Results
* SG: No. 225
* calculated total energy: -2.9259 eV/atom